# 1
A geometry-optimized TeOs2W structure. Source: Alexandria, functional PBE.

```
TeOs2W
1.0
3.010 -3.690 0.000
3.010 3.690 0.000
0.000 0.000 2.987
Te Os W
1 2 1
direct
0.000 0.000 0.000
0.000 0.500 0.500
0.500 0.000 0.500
0.500 0.500 0.000
```

## Properties
ΔE_f (raw): 0.7819 eV/atom
Electronic total energy: -0.6510 Ry/atom
Space group: Cmmm
Magnetization: 0.0 Bohr magnetons per cell


# 2
A geometry-optimized La5SmTe8 structure. Source: Alexandria, functional PBE.

```
La5SmTe8
1.0
-4.822 4.822 4.823
4.822 -4.822 4.823
4.822 4.822 -4.823
La Sm Te
5 1 8
direct
0.000 0.000 0.000
0.248 0.626 0.124
0.374 0.498 0.623
0.502 0.125 0.876
0.875 0.752 0.377
0.750 0.250 0.500
0.121 0.225 0.749
0.124 0.720 0.749
0.280 0.029 0.404
0.476 0.372 0.251
0.626 0.876 0.596
0.628 0.879 0.104
0.775 0.524 0.896
0.971 0.374 0.251
```

## Properties
ΔE_f (raw): -1.5690 eV/atom
Electronic total energy: -0.4014 Ry/atom
Space group: I-4
Magnetization: 0.0 Bohr magnetons per cell


# 3
A geometry-optimized ScCrFe structure. Source: Alexandria, functional PBE.

```
ScCrFe
1.0
0.000 2.916 2.916
2.916 0.000 2.916
2.916 2.916 0.000
Sc Cr Fe
1 1 1
direct
0.000 0.000 0.000
0.500 0.500 0.500
0.250 0.250 0.250
```

## Properties
ΔE_f: 46 kJ per mole of atoms
Electronic total energy: -0.5634 Ry/atom
Space group: F-43m
Magnetization: 1.2 Bohr magnetons per cell


# 4
A geometry-optimized DyIn3Au3 structure. Source: Alexandria, functional PBE.

```
DyIn3Au3
1.0
7.496 0.000 0.000
0.000 7.496 0.000
0.000 0.000 7.496
Dy In Au
2 6 6
direct
0.000 0.000 0.000
0.500 0.500 0.500
0.000 0.250 0.500
0.000 0.750 0.500
0.250 0.500 0.000
0.500 0.000 0.250
0.500 0.000 0.750
0.750 0.500 0.000
0.000 0.500 0.250
0.000 0.500 0.750
0.250 0.000 0.500
0.500 0.250 0.000
0.500 0.750 0.000
0.750 0.000 0.500
```

## Properties
ΔE_f: 16 kJ per mole of atoms
Electronic total energy: -0.2259 Ry/atom
Space group: Pm-3n
Magnetization: 0.0 Bohr magnetons per cell


# 5
A geometry-optimized Tc6Sb7 structure. Source: Alexandria, functional PBE.

```
Tc6Sb7
1.0
2.997 1.730 9.583
-2.997 1.730 9.583
0.000 -3.460 9.583
Tc Sb
6 7
direct
0.094 0.094 0.094
0.171 0.171 0.171
0.336 0.336 0.336
0.664 0.664 0.664
0.829 0.829 0.829
0.906 0.906 0.906
0.069 0.577 0.577
0.423 0.423 0.931
0.423 0.931 0.423
0.500 0.500 0.500
0.577 0.069 0.577
0.577 0.577 0.069
0.931 0.423 0.423
```

## Properties
ΔE_f (raw): 0.9164 eV/atom
Electronic total energy: -0.4474 Ry/atom
Space group: R-3m
Magnetization: 3.1 Bohr magnetons per cell


# 6
A geometry-optimized NaPm2Si structure. Source: Alexandria, functional PBE.

```
NaPm2Si
1.0
2.122 1.225 8.810
-2.122 1.225 8.810
0.000 -2.450 8.810
Na Pm Si
1 2 1
direct
0.000 0.000 0.000
0.225 0.225 0.225
0.775 0.775 0.775
0.500 0.500 0.500
```

## Properties
ΔE_f (raw): -0.1727 eV/atom
Electronic total energy: -0.3112 Ry/atom
Space group: R-3m
Magnetization: 0.0 Bohr magnetons per cell


# 7
A geometry-optimized MgBeMo2 structure. Source: Alexandria, functional PBE.

```
MgBeMo2
1.0
2.638 -4.226 0.000
2.638 4.226 0.000
0.000 0.000 2.667
Mg Be Mo
1 1 2
direct
0.000 0.000 0.000
0.500 0.500 0.000
0.000 0.500 0.500
0.500 0.000 0.500
```

## Properties
ΔE_f: 34 kJ per mole of atoms
Electronic total energy: -0.4699 Ry/atom
Space group: Cmmm
Magnetization: 0.0 Bohr magnetons per cell


# 8
A geometry-optimized RbSn3Ir structure. Source: Alexandria, functional PBE.

```
RbSn3Ir
1.0
5.753 0.000 0.000
0.000 5.753 0.000
0.000 0.000 5.753
Rb Sn Ir
1 3 1
direct
0.000 0.000 0.000
0.000 0.000 0.500
0.000 0.500 0.000
0.500 0.000 0.000
0.500 0.500 0.500
```

## Properties
ΔE_f: 217 kJ per mole of atoms
Electronic total energy: -0.1554 Ry/atom
Space group: Pm-3m
Magnetization: 1.0 Bohr magnetons per cell


# 9
A geometry-optimized Pm2PaRh2 structure. Source: Alexandria, functional PBE.

```
Pm2PaRh2
1.0
5.568 -3.141 0.000
5.568 3.141 0.000
-1.372 0.000 7.140
Pm Pa Rh
4 2 4
direct
0.040 0.262 0.146
0.262 0.040 0.646
0.738 0.960 0.354
0.960 0.738 0.854
0.414 0.586 0.250
0.586 0.414 0.750
0.217 0.496 0.486
0.496 0.217 0.986
0.504 0.783 0.014
0.783 0.504 0.514
```

## Properties
ΔE_f: -66 kJ per mole of atoms
Electronic total energy: -0.5457 Ry/atom
Space group: C2/c
Magnetization: 0.0 Bohr magnetons per cell


# 10
A geometry-optimized ZrCdAg4 structure. Source: Alexandria, functional PBE.

```
ZrCdAg4
1.0
5.221 0.000 0.000
0.007 7.301 0.000
1.807 3.644 6.264
Zr Cd Ag
2 2 8
direct
0.131 0.208 0.084
0.869 0.792 0.916
0.232 0.446 0.607
0.768 0.554 0.393
0.000 0.185 0.500
0.000 0.815 0.500
0.294 0.676 0.149
0.425 0.061 0.753
0.425 0.685 0.753
0.575 0.315 0.247
0.575 0.939 0.247
0.706 0.324 0.851
```

## Properties
ΔE_f: 12 kJ per mole of atoms
Electronic total energy: -0.2468 Ry/atom
Space group: P-1
Magnetization: 0.0 Bohr magnetons per cell


# 11
A geometry-optimized Ho2MgSi3Pt4 structure. Source: Alexandria, functional PBE.

```
Ho2MgSi3Pt4
1.0
4.168 0.000 0.000
0.000 4.168 0.000
0.000 0.000 10.294
Ho Mg Si Pt
2 1 3 4
direct
0.000 0.500 0.245
0.500 0.000 0.755
0.000 0.000 0.500
0.000 0.500 0.871
0.500 0.000 0.129
0.500 0.500 0.500
0.000 0.000 0.000
0.000 0.500 0.644
0.500 0.000 0.356
0.500 0.500 0.000
```

## Properties
ΔE_f (raw): -1.0449 eV/atom
Electronic total energy: -0.4530 Ry/atom
Space group: P-4m2
Magnetization: 0.0 Bohr magnetons per cell


# 12
A geometry-optimized Tl4As2Au structure. Source: Alexandria, functional PBE.

```
Tl4As2Au
1.0
2.598 1.500 8.931
-2.598 1.500 8.931
0.000 -3.000 8.931
Tl As Au
4 2 1
direct
0.123 0.123 0.123
0.288 0.288 0.288
0.712 0.712 0.712
0.877 0.877 0.877
0.405 0.405 0.405
0.595 0.595 0.595
0.500 0.500 0.500
```

## Properties
ΔE_f: 1 kJ per mole of atoms
Electronic total energy: -0.2307 Ry/atom
Space group: R-3m
Magnetization: 0.0 Bohr magnetons per cell


What is the magnetization in the fifth record? 3.1 Bohr magnetons per cell


Which value of electronic total energy does entry 6 give? -0.3112 Ry/atom


Which of these has the highest magnetization? Tc6Sb7


What did the ninth record say?
A geometry-optimized Pm2PaRh2 structure. Source: Alexandria, functional PBE.

```
Pm2PaRh2
1.0
5.568 -3.141 0.000
5.568 3.141 0.000
-1.372 0.000 7.140
Pm Pa Rh
4 2 4
direct
0.040 0.262 0.146
0.262 0.040 0.646
0.738 0.960 0.354
0.960 0.738 0.854
0.414 0.586 0.250
0.586 0.414 0.750
0.217 0.496 0.486
0.496 0.217 0.986
0.504 0.783 0.014
0.783 0.504 0.514
```

## Properties
ΔE_f: -66 kJ per mole of atoms
Electronic total energy: -0.5457 Ry/atom
Space group: C2/c
Magnetization: 0.0 Bohr magnetons per cell